Entry 1:
Zn3KrO3 | PBE-GGA | relaxed

Cell lengths 5.8024, 5.8024, 5.8024 Å; angles 90.00, 90.00, 90.00 degrees
Positions (direct):
Zn 0.2500 0.0000 0.5000
Zn 0.7500 0.0000 0.5000
Zn 0.0000 0.5000 0.2500
Zn 0.0000 0.5000 0.7500
Zn 0.5000 0.2500 0.0000
Zn 0.5000 0.7500 0.0000
Kr 0.0000 0.0000 0.0000
Kr 0.5000 0.5000 0.5000
O 0.2500 0.5000 0.0000
O 0.7500 0.5000 0.0000
O 0.5000 0.0000 0.2500
O 0.5000 0.0000 0.7500
O 0.0000 0.2500 0.5000
O 0.0000 0.7500 0.5000

=====

Entry 2:
Li2MgTe | PBE-GGA | relaxed

Offset from the most stable computed form = 0.147 eV per atom

Cell lengths 5.5123, 5.5123, 5.5123 Å; angles 133.80, 133.56, 67.59 degrees
Positions (direct):
Li 0.0007 0.0007 0.0000
Li 0.4993 0.4993 0.0000
Mg 0.7500 0.2500 0.5000
Te 0.2500 0.7500 0.5000

=====

Energy, respectively: -3.6934 -2.5325 eV/atom.
Magnetization, respectively: 0.000 0.000 μB per atom.
Formation energy without anion corrections, respectively: -1.015 -0.391 eV/atom.